Record 1
# Nd5Pa3Hg12 | the Alexandria database | GGA-PBE | optimized geometry
data_Nd5Pa3Hg12
_space_group_name_H-M_alt 'P 1'
_space_group_IT_number 1
_space_group_name_Hall 'P 1'
_cell_length_a 15.254
_cell_length_b 15.254
_cell_length_c 15.254
_cell_angle_alpha 109.47
_cell_angle_beta 109.47
_cell_angle_gamma 109.47
loop_
_atom_site_label
_atom_site_type_symbol
_atom_site_fract_x
_atom_site_fract_y
_atom_site_fract_z
Hg1 Hg 0.842 0.919 0.269
Nd1 Nd 0.375 0.250 0.125
Pa1 Pa 0.375 0.750 0.625
Nd2 Nd 0.125 0.750 0.375
Hg2 Hg 0.577 0.928 0.658
Nd3 Nd 0.000 0.500 0.500
Pa2 Pa 0.875 0.750 0.125
Hg3 Hg 0.081 0.158 0.231
Hg4 Hg 0.072 0.423 0.842
Nd4 Nd 0.000 0.000 0.000
Hg5 Hg 0.581 0.851 0.423
Hg6 Hg 0.419 0.269 0.342
Hg7 Hg 0.149 0.419 0.077
Hg8 Hg 0.658 0.231 0.581
Nd5 Nd 0.500 0.500 0.000
Nd6 Nd 0.000 0.000 0.500
Hg9 Hg 0.649 0.072 0.231
Nd7 Nd 0.125 0.375 0.250
Nd8 Nd 0.500 0.000 0.000
Hg10 Hg 0.428 0.658 0.077
Hg11 Hg 0.423 0.072 0.342
Nd9 Nd 0.250 0.375 0.625
Hg12 Hg 0.428 0.769 0.851
Hg13 Hg 0.158 0.077 0.928
Hg14 Hg 0.919 0.077 0.649
Hg15 Hg 0.423 0.351 0.581
Hg16 Hg 0.269 0.419 0.842
Nd10 Nd 0.000 0.500 0.000
Hg17 Hg 0.658 0.428 0.577
Hg18 Hg 0.077 0.919 0.149
Nd11 Nd 0.875 0.625 0.750
Nd12 Nd 0.750 0.125 0.875
Hg19 Hg 0.928 0.351 0.269
Hg20 Hg 0.077 0.158 0.428
Hg21 Hg 0.923 0.081 0.851
Hg22 Hg 0.231 0.658 0.081
Pa3 Pa 0.750 0.375 0.125
Hg23 Hg 0.577 0.649 0.419
Nd13 Nd 0.875 0.250 0.625
Hg24 Hg 0.649 0.577 0.919
Pa4 Pa 0.625 0.250 0.375
Nd14 Nd 0.625 0.750 0.875
Hg25 Hg 0.769 0.342 0.919
Pa5 Pa 0.750 0.875 0.625
Hg26 Hg 0.581 0.731 0.658
Hg27 Hg 0.919 0.842 0.769
Nd15 Nd 0.500 0.500 0.500
Nd16 Nd 0.375 0.125 0.750
Nd17 Nd 0.500 0.000 0.500
Nd18 Nd 0.250 0.875 0.125
Hg28 Hg 0.231 0.572 0.649
Pa6 Pa 0.875 0.125 0.250
Nd19 Nd 0.625 0.875 0.250
Hg29 Hg 0.072 0.649 0.731
Pa7 Pa 0.250 0.125 0.375
Hg30 Hg 0.928 0.577 0.158
Hg31 Hg 0.149 0.731 0.572
Pa8 Pa 0.250 0.625 0.875
Pa9 Pa 0.125 0.250 0.875
Nd20 Nd 0.750 0.625 0.375
Hg32 Hg 0.731 0.581 0.158
Hg33 Hg 0.269 0.851 0.928
Hg34 Hg 0.572 0.342 0.923
Hg35 Hg 0.351 0.928 0.769
Hg36 Hg 0.419 0.149 0.577
Hg37 Hg 0.842 0.923 0.072
Hg38 Hg 0.342 0.769 0.419
Pa10 Pa 0.625 0.375 0.750
Hg39 Hg 0.158 0.081 0.731
Hg40 Hg 0.081 0.923 0.351
Hg41 Hg 0.342 0.572 0.423
Hg42 Hg 0.769 0.428 0.351
Hg43 Hg 0.731 0.149 0.072
Hg44 Hg 0.851 0.269 0.428
Hg45 Hg 0.572 0.231 0.149
Hg46 Hg 0.851 0.581 0.923
Hg47 Hg 0.351 0.423 0.081
Pa11 Pa 0.375 0.625 0.250
Pa12 Pa 0.125 0.875 0.750
Hg48 Hg 0.923 0.842 0.572
# * E_form: 215 meV per atom
# * DFT total energy: -206.60 eV for the cell shown
# * size of the total moment: 14.83 μB per cell
# * mass density: 9.3 g/cm3

Record 2
# NdPaHg | the Alexandria database | GGA-PBE | optimized geometry
data_NdPaHg
_space_group_name_H-M_alt 'P 1'
_space_group_IT_number 1
_space_group_name_Hall 'P 1'
_cell_length_a 3.877
_cell_length_b 9.981
_cell_length_c 8.876
_cell_angle_alpha 93.88
_cell_angle_beta 90.00
_cell_angle_gamma 90.00
loop_
_atom_site_label
_atom_site_type_symbol
_atom_site_fract_x
_atom_site_fract_y
_atom_site_fract_z
Nd1 Nd 0.750 0.369 0.363
Pa1 Pa 0.250 0.845 0.023
Hg1 Hg 0.750 0.388 0.733
Pa2 Pa 0.750 0.655 0.977
Hg2 Hg 0.250 0.612 0.267
Pa3 Pa 0.750 0.155 0.977
Hg3 Hg 0.750 0.888 0.733
Nd2 Nd 0.250 0.631 0.637
Pa4 Pa 0.250 0.345 0.023
Nd3 Nd 0.250 0.131 0.637
Nd4 Nd 0.750 0.869 0.363
Hg4 Hg 0.250 0.112 0.267
# * E_form: -68 meV per atom
# * DFT total energy: -59.07 eV for the cell shown
# * size of the total moment: 0.00 μB per cell
# * mass density: 11.2 g/cm3

Record 3
# NdPaHgSb | the Alexandria database | GGA-PBE | optimized geometry
data_NdPaHgSb
_space_group_name_H-M_alt 'P 1'
_space_group_IT_number 1
_space_group_name_Hall 'P 1'
_cell_length_a 5.370
_cell_length_b 5.370
_cell_length_c 5.370
_cell_angle_alpha 60.00
_cell_angle_beta 60.00
_cell_angle_gamma 60.00
loop_
_atom_site_label
_atom_site_type_symbol
_atom_site_fract_x
_atom_site_fract_y
_atom_site_fract_z
Nd1 Nd 0.250 0.250 0.250
Hg1 Hg 0.500 0.500 0.500
Pa1 Pa 0.750 0.750 0.750
Sb1 Sb 0.000 0.000 0.000
# * DFT total energy: -19.86 eV for the cell shown
# * formation energy from raw total energies: -0.294 eV per atom
# * size of the total moment: 2.54 μB per cell
# * mass density: 10.6 g/cm3

Record 4
# NdPaSnHg | the Alexandria database | GGA-PBE | optimized geometry
data_NdPaSnHg
_space_group_name_H-M_alt 'P 1'
_space_group_IT_number 1
_space_group_name_Hall 'P 1'
_cell_length_a 5.378
_cell_length_b 5.378
_cell_length_c 5.378
_cell_angle_alpha 60.00
_cell_angle_beta 60.00
_cell_angle_gamma 60.00
loop_
_atom_site_label
_atom_site_type_symbol
_atom_site_fract_x
_atom_site_fract_y
_atom_site_fract_z
Nd1 Nd 0.500 0.500 0.500
Hg1 Hg 0.750 0.750 0.750
Sn1 Sn 0.250 0.250 0.250
Pa1 Pa 0.000 0.000 0.000
# * E_form: -181 meV per atom
# * DFT total energy: -19.29 eV for the cell shown
# * size of the total moment: 1.69 μB per cell
# * mass density: 10.5 g/cm3

Among the records above, which one has the lowest DFT total energy? Nd5Pa3Hg12

Which value of mass density does entry 4 give? 10.5 g/cm3